{
  "formula": "KAlSb",
  "functional": "SCAN",
  "state": "PBEsol geometry",
  "lattice_angstrom": [[-0.5959, -3.0750, 0.4034], [0.9445, 0.5036, 5.2344], [-4.9419, 0.7080, -1.9031]],
  "species": ["Sb", "K", "Al"],
  "fractional_positions": [[0.5000, 0.6667, 0.3333], [0.0000, 0.3333, 0.6667], [0.5000, 0.0000, 0.0000]],
  "raw_formation_energy_kj_per_mol_atoms": -1.4,
  "total_energy_ev_per_atom": -17.7947,
  "polymorph_energy_ev_per_atom": 0.000
}